Entry 1:
A plane-wave DFT calculation with GGA-PBE was carried out for a relaxed PaTi5Tc6 crystal.

## Properties
As for the space group: Immm. The calculation puts the formation energy from the elements at -0.518 eV per atom. The density comes out at 9.3 Mg/m³. As for the volume: 15.7 A^3/atom. As for the calculated total energy: -9.781 eV per atom.

a = 4.4642 Å, b = 6.3086 Å, c = 7.7130 Å
α = 114.14°, β = 106.82°, γ = 90.00°
With the nearest neighbours (Å) after each atom.
Element x y z (fractional)
Ti 0.6767 0.1767 0.3535  8 Tc 2.63-2.84
Ti 0.6665 0.6665 0.3330  8 Tc 2.73-2.74
Ti 0.3233 0.8233 0.6465  8 Tc 2.63-2.84
Ti 0.0000 0.5000 0.0000  8 Tc 2.72-2.73
Ti 0.3335 0.3335 0.6670  8 Tc 2.73-2.74
Tc 0.1655 0.4156 0.3311  7 Ti 2.63-2.74, 1 Pa 2.72
Tc 0.8345 0.5844 0.6689  7 Ti 2.63-2.74, 1 Pa 2.72
Tc 0.5000 0.2498 0.0000  6 Ti 2.73-2.84, 2 Pa 2.73
Tc 0.8344 0.0844 0.6689  7 Ti 2.63-2.74, 1 Pa 2.72
Tc 0.5000 0.7502 0.0000  6 Ti 2.73-2.84, 2 Pa 2.73
Tc 0.1656 0.9156 0.3311  7 Ti 2.63-2.74, 1 Pa 2.72
Pa 0.0000 0.0000 0.0000  8 Tc 2.72-2.73

***

Entry 2:
A plane-wave DFT calculation with GGA-PBE was carried out for a relaxed NaFe3Cl12 crystal.

## Properties
As for the space group: R3c. The formation energy from raw total energies is -763 meV/atom. The density comes out at 1.8 Mg/m³. As for the volume: 36.5 A^3/atom. As for the calculated total energy: -3.818 eV per atom.

a = 10.8603 Å, b = 10.8603 Å, c = 13.0404 Å
α = 65.39°, β = 65.39°, γ = 60.00°
With the nearest neighbours (Å) after each atom.
Element x y z (fractional)
Cl 0.9335 0.9544 0.5309  1 Fe 2.13
Cl 0.2161 0.2675 0.6510  1 Fe 2.17
Cl 0.8654 0.2161 0.6510  1 Fe 2.17
Cl 0.1126 0.7755 0.9697  1 Fe 2.18
Cl 0.3635 0.9680 0.3532  1 Fe 2.14
Cl 0.8635 0.8152 0.8532  1 Fe 2.14
Cl 0.1422 0.1126 0.9697  1 Fe 2.18
Cl 0.3152 0.3635 0.3532  1 Fe 2.14
Cl 0.3654 0.7675 0.1510  1 Fe 2.17
Cl 0.9680 0.3152 0.3532  1 Fe 2.14
Cl 0.6422 0.2755 0.4697  1 Fe 2.18
Cl 0.4680 0.8635 0.8532  1 Fe 2.14
Cl 0.8152 0.4680 0.8532  1 Fe 2.14
Cl 0.4335 0.0812 0.0309  1 Fe 2.13
Cl 0.4544 0.4335 0.0309  1 Fe 2.13
Cl 0.2675 0.8654 0.6510  1 Fe 2.17
Cl 0.0812 0.4544 0.0309  1 Fe 2.13
Cl 0.7675 0.7161 0.1510  1 Fe 2.17
Cl 0.7755 0.1422 0.9697  1 Fe 2.18
Cl 0.6126 0.6422 0.4697  1 Fe 2.18
Cl 0.9544 0.5812 0.5309  1 Fe 2.13
Cl 0.5812 0.9335 0.5309  1 Fe 2.13
Cl 0.7161 0.3654 0.1510  1 Fe 2.17
Cl 0.2755 0.6126 0.4697  1 Fe 2.18
Fe 0.4565 0.8580 0.4991  4 Cl 2.13-2.18
Fe 0.9565 0.6865 0.9991  4 Cl 2.13-2.18
Fe 0.8580 0.1865 0.4991  4 Cl 2.13-2.18
Fe 0.3580 0.9565 0.9991  4 Cl 2.13-2.18
Fe 0.6865 0.3580 0.9991  4 Cl 2.13-2.18
Fe 0.1865 0.4565 0.4991  4 Cl 2.13-2.18
Na 0.0664 0.0664 0.8008  6 Cl 2.93-2.94
Na 0.5664 0.5664 0.3008  6 Cl 2.93-2.94

***

Entry 3:
A plane-wave DFT calculation with GGA-PBE was carried out for a relaxed NpCd2Ni9 crystal.

## Properties
As for the space group: R-3m. The calculation puts the formation energy from the elements at -0.075 eV per atom. The density comes out at 10.1 Mg/m³. As for the volume: 13.6 A^3/atom. As for the calculated total energy: -5.642 eV per atom.

a = 4.8722 Å, b = 4.8722 Å, c = 8.4245 Å
α = 73.19°, β = 73.19°, γ = 60.00°
With the nearest neighbours (Å) after each atom.
Element x y z (fractional)
Ni 0.0816 0.5835 0.7514  7 Ni 2.42-2.45
Ni 0.4165 0.9184 0.2486  7 Ni 2.42-2.45
Ni 0.9184 0.4165 0.2486  7 Ni 2.42-2.45
Ni 0.3338 0.3338 0.9987  6 Ni 2.42-2.43
Ni 0.6662 0.6662 0.0013  6 Ni 2.42-2.43
Ni 0.4165 0.4165 0.2486  7 Ni 2.42-2.45
Ni 0.5000 0.5000 0.5000  6 Ni 2.45
Ni 0.5835 0.0816 0.7514  7 Ni 2.42-2.45
Ni 0.5835 0.5835 0.7514  7 Ni 2.42-2.45
Np 0.0000 0.0000 0.0000  18 Ni 2.81-3.14
Cd 0.8564 0.8564 0.4307  12 Ni 2.83-2.91, 3 Cd 3.02
Cd 0.1436 0.1436 0.5693  12 Ni 2.83-2.91, 3 Cd 3.02

***

Entry 4:
A plane-wave DFT calculation with GGA-PBE was carried out for a relaxed Li2CaFe crystal.

## Properties
As for the space group: P2/m. The calculation puts the formation energy from the elements at 0.425 eV per atom. The density comes out at 2.3 Mg/m³. As for the volume: 20.2 A^3/atom. As for the calculated total energy: -3.148 eV per atom.

a = 4.9482 Å, b = 3.0365 Å, c = 5.4061 Å
α = 83.40°, β = 90.00°, γ = 90.00°
With the nearest neighbours (Å) after each atom.
Element x y z (fractional)
Li 0.0000 0.5204 0.5454  2 Li 2.60-2.75, 2 Fe 2.83
Li 0.0000 0.9796 0.9546  2 Li 2.60-2.75, 2 Fe 2.83
Ca 0.5000 0.2500 0.2500  4 Fe 2.94-3.25, 2 Ca 3.04, 4 Li 3.11
Fe 0.5000 0.7500 0.7500  4 Li 2.83, 2 Ca 2.94, 2 Fe 3.04

***

Entry 5:
A plane-wave DFT calculation with GGA-PBE was carried out for a relaxed Ba3Cd5Ag6 crystal.

## Properties
As for the space group: Immm. The calculation puts the formation energy from the elements at -0.244 eV per atom. The density comes out at 7.2 Mg/m³. As for the volume: 26.7 A^3/atom. As for the calculated total energy: -2.205 eV per atom.

a = 4.9262 Å, b = 9.2785 Å, c = 9.2785 Å
α = 68.42°, β = 74.61°, γ = 74.61°
With the nearest neighbours (Å) after each atom.
Element x y z (fractional)
Cd 0.0000 0.5000 0.5000  4 Ag 2.88
Cd 0.3250 0.0248 0.3252  4 Ag 2.92-3.07, 1 Cd 3.13
Cd 0.3250 0.3252 0.0248  4 Ag 2.92-3.07, 1 Cd 3.13
Cd 0.6750 0.9752 0.6748  4 Ag 2.92-3.07, 1 Cd 3.13
Cd 0.6750 0.6748 0.9752  4 Ag 2.92-3.07, 1 Cd 3.13
Ag 0.5000 0.2892 0.7108  2 Cd 2.93, 4 Ag 3.02
Ag 0.8805 0.3993 0.8396  4 Cd 2.88-3.07, 2 Ag 3.02
Ag 0.1195 0.1604 0.6007  4 Cd 2.88-3.07, 2 Ag 3.02
Ag 0.1195 0.6007 0.1604  4 Cd 2.88-3.07, 2 Ag 3.02
Ag 0.5000 0.7108 0.2892  2 Cd 2.93, 4 Ag 3.02
Ag 0.8805 0.8396 0.3993  4 Cd 2.88-3.07, 2 Ag 3.02
Ba 0.0000 0.0000 0.0000  4 Ag 3.40
Ba 0.6887 0.3113 0.3113  6 Ag 3.52, 8 Cd 3.53-3.69
Ba 0.3113 0.6887 0.6887  6 Ag 3.52, 8 Cd 3.53-3.69

***

Entry 6:
A plane-wave DFT calculation with GGA-PBE was carried out for a relaxed CrIn2Os crystal.

## Properties
As for the space group: P4/mmm. The calculation puts the formation energy from the elements at 0.475 eV per atom. The density comes out at 11.0 Mg/m³. As for the volume: 17.8 A^3/atom. As for the calculated total energy: -6.108 eV per atom.

a = 3.3697 Å, b = 3.3757 Å, c = 6.2722 Å
α = 90.00°, β = 90.00°, γ = 90.00°
With the nearest neighbours (Å) after each atom.
Element x y z (fractional)
Cr 0.5000 0.5000 0.7500  8 In 2.88, 2 Os 3.14
In 0.0000 0.0000 0.0080  4 Os 2.83, 4 Cr 2.88, 1 In 3.04
In 0.0000 0.0000 0.4920  4 Os 2.83, 4 Cr 2.88, 1 In 3.04
Os 0.5000 0.5000 0.2500  8 In 2.83, 2 Cr 3.14

***

Entry 7:
A plane-wave DFT calculation with GGA-PBE was carried out for a relaxed Dy3Sb4Ir3 crystal.

## Properties
As for the space group: I-43d. The formation energy from raw total energies is -762 meV/atom. The density comes out at 11.0 Mg/m³. As for the volume: 23.3 A^3/atom. As for the calculated total energy: -6.450 eV per atom.

a = 8.4626 Å, b = 8.4626 Å, c = 8.4626 Å
α = 109.47°, β = 109.47°, γ = 109.47°
With the nearest neighbours (Å) after each atom.
Element x y z (fractional)
Ir 0.8750 0.6250 0.7500  4 Sb 2.69, 4 Dy 2.99
Ir 0.2500 0.3750 0.6250  4 Sb 2.69, 4 Dy 2.99
Ir 0.3750 0.2500 0.1250  4 Sb 2.69, 4 Dy 2.99
Ir 0.6250 0.8750 0.2500  4 Sb 2.69, 4 Dy 2.99
Ir 0.7500 0.1250 0.8750  4 Sb 2.69, 4 Dy 2.99
Ir 0.1250 0.7500 0.3750  4 Sb 2.69, 4 Dy 2.99
Sb 0.5000 0.8527 0.5000  3 Ir 2.69
Sb 0.1473 0.6473 0.6473  3 Ir 2.69
Sb 0.3527 0.5000 0.0000  3 Ir 2.69
Sb 0.8527 0.5000 0.0000  3 Ir 2.69
Sb 0.6473 0.1473 0.1473  3 Ir 2.69
Sb 0.5000 0.3527 0.5000  3 Ir 2.69
Sb 0.0000 0.0000 0.3527  3 Ir 2.69
Sb 0.0000 0.0000 0.8527  3 Ir 2.69
Dy 0.8750 0.2500 0.6250  4 Ir 2.99, 4 Sb 3.28
Dy 0.1250 0.3750 0.2500  4 Ir 2.99, 4 Sb 3.28
Dy 0.7500 0.6250 0.3750  4 Ir 2.99, 4 Sb 3.28
Dy 0.2500 0.8750 0.1250  4 Ir 2.99, 4 Sb 3.28
Dy 0.3750 0.1250 0.7500  4 Ir 2.99, 4 Sb 3.28
Dy 0.6250 0.7500 0.8750  4 Ir 2.99, 4 Sb 3.28

***

Entry 8:
A plane-wave DFT calculation with GGA-PBE was carried out for a relaxed AcNdEr2 crystal.

## Properties
As for the space group: P4/mmm. The calculation puts the formation energy from the elements at 0.050 eV per atom. The density comes out at 8.4 Mg/m³. As for the volume: 34.8 A^3/atom. As for the calculated total energy: -4.450 eV per atom.

a = 5.0316 Å, b = 5.2634 Å, c = 5.2634 Å
α = 90.00°, β = 90.00°, γ = 90.00°
With the nearest neighbours (Å) after each atom.
Element x y z (fractional)
Nd 0.5000 0.0000 0.0000  8 Er 3.64, 4 Ac 3.72
Ac 0.5000 0.5000 0.5000  8 Er 3.64, 4 Nd 3.72
Er 0.0000 0.5000 0.0000  4 Ac 3.64, 4 Nd 3.64, 4 Er 3.72
Er 0.0000 0.0000 0.5000  4 Ac 3.64, 4 Nd 3.64, 4 Er 3.72

***

Entry 9:
A plane-wave DFT calculation with GGA-PBE was carried out for a relaxed AcTmMg2 crystal.

## Properties
As for the space group: P4/mmm. The calculation puts the formation energy from the elements at -0.046 eV per atom. The density comes out at 6.1 Mg/m³. As for the volume: 30.5 A^3/atom. As for the calculated total energy: -2.989 eV per atom.

a = 3.8849 Å, b = 3.8849 Å, c = 8.0820 Å
α = 90.00°, β = 90.00°, γ = 90.00°
With the nearest neighbours (Å) after each atom.
Element x y z (fractional)
Tm 0.5000 0.5000 0.0000  8 Mg 3.25
Ac 0.5000 0.5000 0.5000  8 Mg 3.58, 4 Ac 3.88
Mg 0.0000 0.0000 0.7842  4 Tm 3.25, 1 Mg 3.49, 4 Ac 3.58
Mg 0.0000 0.0000 0.2158  4 Tm 3.25, 1 Mg 3.49, 4 Ac 3.58

***

Entry 10:
A plane-wave DFT calculation with GGA-PBE was carried out for a relaxed Ga2GeAu2 crystal.

## Properties
As for the space group: P4/mbm. The calculation puts the formation energy from the elements at 0.029 eV per atom. The density comes out at 10.6 Mg/m³. As for the volume: 18.9 A^3/atom. As for the calculated total energy: -3.417 eV per atom.

a = 8.1278 Å, b = 8.1278 Å, c = 2.8640 Å
α = 90.00°, β = 90.00°, γ = 90.00°
With the nearest neighbours (Å) after each atom.
Element x y z (fractional)
Ge 0.5000 0.5000 0.0000  2 Ge 2.86, 4 Ga 3.17
Ge 0.0000 0.0000 0.0000  2 Ge 2.86, 4 Ga 3.17
Ga 0.1344 0.3656 0.0000  6 Au 2.74-2.82, 2 Ga 2.86
Ga 0.6344 0.1344 0.0000  6 Au 2.74-2.82, 2 Ga 2.86
Ga 0.3656 0.8656 0.0000  6 Au 2.74-2.82, 2 Ga 2.86
Ga 0.8656 0.6344 0.0000  6 Au 2.74-2.82, 2 Ga 2.86
Au 0.8372 0.3372 0.5000  6 Ga 2.74-2.82, 2 Au 2.86
Au 0.1628 0.6628 0.5000  6 Ga 2.74-2.82, 2 Au 2.86
Au 0.3372 0.1628 0.5000  6 Ga 2.74-2.82, 2 Au 2.86
Au 0.6628 0.8372 0.5000  6 Ga 2.74-2.82, 2 Au 2.86

***

Entry 11:
A plane-wave DFT calculation with GGA-PBE was carried out for a relaxed LaTeI2Br crystal.

## Properties
As for the space group: P4/mmm. The formation energy from raw total energies is -637 meV/atom. The density comes out at 4.0 Mg/m³. As for the volume: 50.1 A^3/atom. As for the calculated total energy: -3.205 eV per atom.

a = 6.1741 Å, b = 6.1741 Å, c = 6.5669 Å
α = 90.00°, β = 90.00°, γ = 90.00°
With the nearest neighbours (Å) after each atom.
Element x y z (fractional)
Te 0.0000 0.0000 0.5000  2 La 3.28
La 0.0000 0.0000 0.0000  4 I 3.09, 2 Te 3.28
I 0.5000 0.0000 0.0000  2 La 3.09
I 0.0000 0.5000 0.0000  2 La 3.09
Br 0.5000 0.5000 0.5000  4 Te 4.37, 8 I 4.51

***

Entry 12:
A plane-wave DFT calculation with GGA-PBE was carried out for a relaxed PRh2W crystal.

## Properties
As for the space group: P4/mmm. The calculation puts the formation energy from the elements at -0.168 eV per atom. The density comes out at 12.4 Mg/m³. As for the volume: 14.0 A^3/atom. As for the calculated total energy: -8.434 eV per atom.

a = 2.8132 Å, b = 2.8132 Å, c = 7.0913 Å
α = 90.00°, β = 90.00°, γ = 90.00°
With the nearest neighbours (Å) after each atom.
Element x y z (fractional)
W 0.5000 0.5000 0.0000  4 W 2.81, 8 Rh 2.83
P 0.5000 0.5000 0.5000  8 Rh 2.51
Rh 0.0000 0.0000 0.7162  4 P 2.51
Rh 0.0000 0.0000 0.2838  4 P 2.51

***

> Number 9 is which compound?

AcTmMg2